Below is a geometry-optimized SnMoPd2 structure, with properties calculated at the PBE level.

Values from the calculation:
Its crystal system is cubic. The electronic total energy comes out at -25.3 eV for the cell shown.

Lattice parameters (Å, degrees): 4.5534 4.5534 4.5534 60.00 60.00 60.00
Last column: nearest neighbours and their distance in Å.
Atoms (fractional coordinates):
Sn (0.0000, 0.0000, 0.0000)  4 Mo 2.79, 4 Pd 2.79
Mo (0.2500, 0.2500, 0.2500)  4 Pd 2.79, 4 Sn 2.79
Pd (0.5000, 0.5000, 0.5000)  4 Pd 2.79, 4 Mo 2.79
Pd (0.7500, 0.7500, 0.7500)  4 Sn 2.79, 4 Pd 2.79

=====

Below is a geometry-optimized Lu2Ta4P3C3 structure, with properties calculated at the PBE level.

Values from the calculation:
Its crystal system is monoclinic. The electronic total energy comes out at -219.9 eV for the cell shown.

Lattice parameters (Å, degrees): 5.8198 5.8198 12.4072 103.55 103.55 60.03
Last column: nearest neighbours and their distance in Å.
Atoms (fractional coordinates):
Lu (0.0367, 0.8751, 0.6093)  3 C 2.36-2.38, 1 P 2.64
Lu (0.1249, 0.9633, 0.8907)  3 C 2.36-2.38, 1 P 2.64
Lu (0.8751, 0.0367, 0.1093)  3 C 2.36-2.38, 1 P 2.64
Lu (0.9633, 0.1249, 0.3907)  3 C 2.36-2.38, 1 P 2.64
Ta (0.1999, 0.3613, 0.0984)  3 C 2.24-2.26
Ta (0.2954, 0.4721, 0.4016)  3 C 2.24-2.26
Ta (0.3613, 0.1999, 0.5984)  3 C 2.24-2.26
Ta (0.4721, 0.2954, 0.9016)  3 C 2.24-2.26
Ta (0.5279, 0.7046, 0.0984)  3 C 2.24-2.26
Ta (0.6387, 0.8001, 0.4016)  3 C 2.24-2.26
Ta (0.7046, 0.5279, 0.5984)  3 C 2.24-2.26
Ta (0.8001, 0.6387, 0.9016)  3 C 2.24-2.26
P (0.0838, 0.2706, 0.7511)  4 Ta 2.60-2.61, 2 Lu 2.64-2.66
P (0.2706, 0.0838, 0.2511)  4 Ta 2.60-2.61, 2 Lu 2.64-2.66
P (0.4370, 0.5630, 0.7500)  4 Ta 2.62, 2 Lu 2.67
P (0.5630, 0.4370, 0.2500)  4 Ta 2.62, 2 Lu 2.67
P (0.7294, 0.9162, 0.7489)  4 Ta 2.60-2.61, 2 Lu 2.64-2.66
P (0.9162, 0.7294, 0.2489)  4 Ta 2.60-2.61, 2 Lu 2.64-2.66
C (0.0000, 0.5000, 0.5000)  4 Ta 2.25-2.26, 2 Lu 2.36
C (0.1741, 0.6516, 0.0000)  4 Ta 2.24-2.26, 2 Lu 2.38
C (0.3484, 0.8259, 0.5000)  4 Ta 2.24-2.26, 2 Lu 2.38
C (0.5000, 0.0000, 0.0000)  4 Ta 2.25-2.26, 2 Lu 2.36
C (0.6516, 0.1741, 0.5000)  4 Ta 2.24-2.26, 2 Lu 2.38
C (0.8259, 0.3484, 0.0000)  4 Ta 2.24-2.26, 2 Lu 2.38

=====

Below is a geometry-optimized YTm2In3Pd2Au structure, with properties calculated at the PBE level.

Values from the calculation:
Its crystal system is orthorhombic. The electronic total energy comes out at -44.2 eV for the cell shown.

Lattice parameters (Å, degrees): 3.7767 7.8014 7.8014 120.26 90.00 90.00
Last column: nearest neighbours and their distance in Å.
Atoms (fractional coordinates):
Y (0.0000, 0.0000, 0.0000)  4 Pd 3.06, 6 In 3.15-3.36, 1 Au 3.15
Tm (0.0000, 0.4039, 0.8088)  4 Pd 3.01, 1 Au 3.15, 6 In 3.16-3.37
Tm (0.0000, 0.8088, 0.4039)  4 Pd 3.01, 1 Au 3.15, 6 In 3.16-3.37
In (0.5000, 0.1332, 0.4044)  2 Au 2.84, 2 Pd 2.84-2.88, 2 Tm 3.16
In (0.5000, 0.4044, 0.1332)  2 Au 2.84, 2 Pd 2.84-2.88, 2 Tm 3.16
In (0.5000, 0.6752, 0.6752)  2 Au 2.82, 2 Pd 2.89, 2 Y 3.15
Pd (0.5000, 0.0720, 0.7341)  3 In 2.84-2.89, 4 Tm 3.01, 2 Y 3.06
Pd (0.5000, 0.7341, 0.0720)  3 In 2.84-2.89, 4 Tm 3.01, 2 Y 3.06
Au (0.0000, 0.4059, 0.4059)  6 In 2.82-2.84, 2 Tm 3.15, 1 Y 3.15

=====

Below is a geometry-optimized Ta5Al3B structure, with properties calculated at the PBE level.

Values from the calculation:
Its crystal system is hexagonal. The electronic total energy comes out at -161.4 eV for the cell shown.

Lattice parameters (Å, degrees): 7.8447 7.8447 5.3344 90.00 90.00 120.00
Last column: nearest neighbours and their distance in Å.
Atoms (fractional coordinates):
Ta (0.0000, 0.2413, 0.2500)  2 B 2.32
Ta (0.0000, 0.7587, 0.7500)  2 B 2.32
Ta (0.2413, 0.0000, 0.2500)  2 B 2.32
Ta (0.2413, 0.2413, 0.7500)  2 B 2.32
Ta (0.3333, 0.6667, 0.0000)  2 Ta 2.67, 6 Al 2.73
Ta (0.3333, 0.6667, 0.5000)  2 Ta 2.67, 6 Al 2.73
Ta (0.6667, 0.3333, 0.0000)  2 Ta 2.67, 6 Al 2.73
Ta (0.6667, 0.3333, 0.5000)  2 Ta 2.67, 6 Al 2.73
Ta (0.7587, 0.0000, 0.7500)  2 B 2.32
Ta (0.7587, 0.7587, 0.2500)  2 B 2.32
Al (0.0000, 0.4035, 0.7500)  9 Ta 2.73-2.95
Al (0.0000, 0.5965, 0.2500)  9 Ta 2.73-2.95
Al (0.4035, 0.0000, 0.7500)  9 Ta 2.73-2.95
Al (0.4035, 0.4035, 0.2500)  9 Ta 2.73-2.95
Al (0.5965, 0.0000, 0.2500)  9 Ta 2.73-2.95
Al (0.5965, 0.5965, 0.7500)  9 Ta 2.73-2.95
B (0.0000, 0.0000, 0.0000)  6 Ta 2.32
B (0.0000, 0.0000, 0.5000)  6 Ta 2.32

=====

Below is a geometry-optimized RbNbTe structure, with properties calculated at the PBE level.

Values from the calculation:
Its crystal system is cubic. The electronic total energy comes out at -12.0 eV for the cell shown. For the energy above the most stable polymorph in this dataset, the calculation gives 0.000 eV per atom.

Lattice parameters (Å, degrees): 5.2506 5.2506 5.2506 60.00 60.00 60.00
Last column: nearest neighbours and their distance in Å.
Atoms (fractional coordinates):
Rb (0.0000, 0.0000, 0.0000)  4 Nb 3.22
Nb (0.2500, 0.2500, 0.2500)  4 Te 3.22, 4 Rb 3.22
Te (0.5000, 0.5000, 0.5000)  4 Nb 3.22

=====

Below is a geometry-optimized MoN structure, with properties calculated at the PBE level.

Values from the calculation:
Its crystal system is hexagonal. The electronic total energy comes out at -17.4 eV for the cell shown.

Lattice parameters (Å, degrees): 2.8878 2.8878 3.8152 90.00 90.00 120.00
Last column: nearest neighbours and their distance in Å.
Atoms (fractional coordinates):
Mo (0.0000, 0.0000, 0.0000)  2 N 1.91
N (0.0000, 0.0000, 0.5000)  2 Mo 1.91

=====

- Which formula does entry 5 have?
  RbNbTe

=====

- Which of these has the lowest electronic total energy?
  Lu2Ta4P3C3